Record 1
VASP calculation (PBE-GGA) on ScTc2W after structural relaxation.

Values from the calculation:
ΔE to the lowest computed polymorph, meV per atom: 0
DOS(E_F), states/eV/f.u.: 4.81
Formation energy, meV/atom: -224

Unit cell a=4.476 b=4.476 c=4.476 alpha=60.00 beta=60.00 gamma=60.00
Fractional coordinates of all 4 atoms:
1 Sc 0.000 0.000 0.000
2 Tc 0.250 0.250 0.250
3 Tc 0.750 0.750 0.750
4 W 0.500 0.500 0.500

---

Record 2
VASP calculation (PBE-GGA) on CaTbHo after structural relaxation.

Values from the calculation:
ΔE to the lowest computed polymorph, meV per atom: 17
DOS(E_F), states/eV/f.u.: 4.31
Formation energy, meV/atom: 66

Unit cell a=3.630 b=3.630 c=8.187 alpha=102.81 beta=102.81 gamma=90.00
Fractional coordinates of all 3 atoms:
1 Ca 0.000 0.000 0.001
2 Tb 0.323 0.323 0.647
3 Ho 0.676 0.676 0.352

---

Record 3
VASP calculation (PBE-GGA) on Ba2MgAlAg6 after structural relaxation.

Values from the calculation:
DOS(E_F), states/eV/f.u.: 5.60
Formation energy, meV/atom: -174

Unit cell a=7.417 b=7.040 c=7.403 alpha=61.60 beta=56.83 gamma=89.91
Fractional coordinates of all 10 atoms:
1 Ba 0.713 0.286 0.428
2 Ba 0.287 0.714 0.572
3 Mg 0.000 0.000 0.000
4 Al 0.500 0.500 0.000
5 Ag 0.153 0.253 0.492
6 Ag 0.746 0.846 0.900
7 Ag 0.254 0.746 0.101
8 Ag 0.746 0.254 0.899
9 Ag 0.254 0.154 0.100
10 Ag 0.847 0.747 0.508

---

In order of appearance, size of the total moment = 0.000, 0.000, 0.000 μB per atom.